Density functional theory data (PBE-GGA) for crystalline Pm4CdRuAu2 at its relaxed geometry.

a = 5.227 Å, b = 5.227 Å, c = 8.941 Å
α = 73.01°, β = 73.01°, γ = 60.00°
Fractional coordinates of all 8 atoms:
Pm  0.386  0.386  0.843
Pm  0.134  0.134  0.599
Pm  0.866  0.866  0.401
Pm  0.614  0.614  0.157
Au  0.739  0.739  0.784
Au  0.261  0.261  0.216
Cd  0.000  0.000  0.000
Ru  0.500  0.500  0.500

Space-group type ... R-3m, No. 166
N(E_F) ... 0.77 states/eV/atom
DFT formation energy ... -0.526 eV per atom

***

Density functional theory data (PBE-GGA) for crystalline Pm6As2PdS3 at its relaxed geometry.

a = 4.123 Å, b = 8.301 Å, c = 9.247 Å
α = 103.09°, β = 102.88°, γ = 90.00°
Fractional coordinates of all 12 atoms:
Pm  0.333  0.415  0.666
Pm  0.002  0.745  0.003
Pm  0.998  0.255  0.997
Pm  0.669  0.083  0.338
Pm  0.667  0.585  0.334
Pm  0.331  0.917  0.662
S  0.832  0.166  0.664
S  0.168  0.834  0.336
S  0.500  0.500  0.000
As  0.166  0.332  0.331
As  0.834  0.668  0.669
Pd  0.500  0.000  0.000

Raw formation energy ... -1638 meV per atom
Space-group type ... C2/m, No. 12
N(E_F) ... 0.45 states/eV/atom

***

Density functional theory data (PBE-GGA) for crystalline CsScPCl2 at its relaxed geometry.

a = 5.236 Å, b = 5.236 Å, c = 5.192 Å
α = 90.00°, β = 90.00°, γ = 90.00°
Each line ends with the local moment (μB).
Fractional coordinates of all 5 atoms:
Cl  0.000  0.500  0.000  0.03
Cl  0.500  0.000  0.000  0.03
Cs  0.500  0.500  0.500  0.02
Sc  0.000  0.000  0.000  -0.03
P  0.000  0.000  0.500  0.37

Raw formation energy ... -1315 meV per atom
Space-group type ... P4/mmm, No. 123
N(E_F) ... 0.62 states/eV/atom
Excess energy over the best structure of this formula in the dataset ... 0.00 eV/f.u.

***

Density functional theory data (PBE-GGA) for crystalline IrRhF3 at its relaxed geometry.

a = 4.206 Å, b = 4.206 Å, c = 4.206 Å
α = 90.00°, β = 90.00°, γ = 90.00°
Each line ends with the local moment (μB).
Fractional coordinates of all 5 atoms:
F  0.000  0.500  0.000  -0.01
F  0.000  0.000  0.500  -0.01
F  0.500  0.000  0.000  -0.02
Ir  0.000  0.000  0.000  -0.19
Rh  0.500  0.500  0.500  0.00

Raw formation energy ... 76 meV per atom
Space-group type ... Pm-3m, No. 221
N(E_F) ... 2.92 states/eV/atom
Excess energy over the best structure of this formula in the dataset ... 0.00 eV/f.u.

***

Density functional theory data (PBE-GGA) for crystalline GaRu2Au at its relaxed geometry.

a = 7.182 Å, b = 7.182 Å, c = 5.692 Å
α = 50.88°, β = 50.88°, γ = 90.00°
Each line ends with the local moment (μB).
Fractional coordinates of all 8 atoms:
Ga  0.250  0.750  0.500  -0.01
Ga  0.500  0.500  0.000  -0.01
Ru  0.375  0.409  0.750  0.63
Ru  0.159  0.625  0.250  0.63
Ru  0.591  0.125  0.250  0.63
Ru  0.875  0.841  0.750  0.63
Au  0.750  0.250  0.500  0.01
Au  0.000  0.000  0.000  0.01

Space-group type ... I-42d, No. 122
N(E_F) ... 1.09 states/eV/atom
DFT formation energy ... 0.513 eV per atom

***

Density functional theory data (PBE-GGA) for crystalline PmPrZnIn at its relaxed geometry.

a = 5.380 Å, b = 5.380 Å, c = 5.380 Å
α = 60.00°, β = 60.00°, γ = 60.00°
Fractional coordinates of all 4 atoms:
In  0.500  0.500  0.500
Pm  0.750  0.750  0.750
Zn  0.000  0.000  0.000
Pr  0.250  0.250  0.250

Space-group type ... F-43m, No. 216
N(E_F) ... 1.23 states/eV/atom
Excess energy over the best structure of this formula in the dataset ... 0.07 eV/f.u.
DFT formation energy ... -0.384 eV per atom

***

Density functional theory data (PBE-GGA) for crystalline MgRhCl2 at its relaxed geometry.

a = 5.563 Å, b = 5.563 Å, c = 6.996 Å
α = 66.57°, β = 66.57°, γ = 90.00°
Each line ends with the local moment (μB).
Fractional coordinates of all 8 atoms:
Cl  0.875  0.856  0.750  0.04
Cl  0.375  0.394  0.750  0.03
Cl  0.144  0.625  0.250  0.04
Cl  0.606  0.125  0.250  0.03
Rh  0.000  0.000  0.000  0.98
Rh  0.750  0.250  0.500  0.98
Mg  0.250  0.750  0.500  0.00
Mg  0.500  0.500  0.000  0.00

Raw formation energy ... -340 meV per atom
Space-group type ... I-42d, No. 122
N(E_F) ... 0.73 states/eV/atom
Excess energy over the best structure of this formula in the dataset ... 1.27 eV/f.u.

***

Density functional theory data (PBE-GGA) for crystalline Hf2Al6Re at its relaxed geometry.

a = 6.249 Å, b = 5.445 Å, c = 5.445 Å
α = 59.73°, β = 100.45°, γ = 100.45°
Fractional coordinates of all 9 atoms:
Al  0.329  0.870  0.385
Al  0.671  0.130  0.615
Al  0.697  0.133  0.133
Al  0.671  0.615  0.130
Al  0.303  0.867  0.867
Al  0.329  0.385  0.870
Re  0.000  0.000  0.000
Hf  0.103  0.348  0.348
Hf  0.897  0.652  0.652

Space-group type ... C2/m, No. 12
N(E_F) ... 0.42 states/eV/atom
DFT formation energy ... -0.272 eV per atom